# SrGa2Cu PBE-GGA relaxed
data_SrGa2Cu
_cell_length_a 4.2618
_cell_length_b 4.2618
_cell_length_c 17.1439
_cell_angle_alpha 90.00
_cell_angle_beta 90.00
_cell_angle_gamma 120.00
_symmetry_space_group_name_H-M 'R -3 m'
_symmetry_Int_Tables_number 166
_symmetry_space_group_name_Hall '-R 3 2"'
loop_
_atom_site_label
_atom_site_type_symbol
_atom_site_fract_x
_atom_site_fract_y
_atom_site_fract_z
Sr1 Sr 0.0000 0.0000 0.0000
Ga1 Ga 0.0000 0.0000 0.2050
Cu1 Cu 0.0000 0.0000 0.5000
# Formation enthalpy at 0 K: -1.350 eV per formula unit
# Crystal system: trigonal
# Total energy: -39.5 eV per cell
# Magnetic moment: 0.00 μB/f.u.